# 1
Pu3Th4Te8: relaxed, PBE.

a b c (Å): 8.8699 8.8527 8.8531
angles (deg): 90.08 119.96 119.96
Atoms (fractional coordinates):
1 Th 0.0000 0.0000 0.0000
2 Th 0.5000 0.0000 0.0000
3 Th 0.0000 0.0000 0.5000
4 Th 0.0000 0.5000 0.0000
5 Te 0.5000 0.7474 0.2526
6 Te 0.0000 0.2592 0.7408
7 Te 0.9960 0.7370 0.7370
8 Te 0.5000 0.2526 0.7474
9 Te 0.0040 0.2630 0.2630
10 Te 0.4864 0.7419 0.7419
11 Te 0.5136 0.2581 0.2581
12 Te 0.0000 0.7408 0.2592
13 Pu 0.5000 0.5000 0.0000
14 Pu 0.5000 0.0000 0.5000
15 Pu 0.5000 0.5000 0.5000

The density of states at the Fermi level is 37.8 states/eV/f.u. The final energy is -7.613 eV per atom. The calculated density comes out at 9.1 g/cm3.

# 2
PuTh2Tl3Te6: relaxed, PBE.

a b c (Å): 7.7524 7.7524 8.7551
angles (deg): 98.48 98.48 119.99
Atoms (fractional coordinates):
1 Te 0.4100 0.0741 0.2218
2 Te 0.5900 0.9259 0.7782
3 Te 0.0741 0.4100 0.2218
4 Te 0.2628 0.2628 0.7797
5 Te 0.9259 0.5900 0.7782
6 Te 0.7372 0.7372 0.2203
7 Tl 0.1654 0.8346 0.5000
8 Tl 0.8346 0.1654 0.5000
9 Tl 0.5000 0.5000 0.5000
10 Th 0.3330 0.6670 0.0000
11 Th 0.6670 0.3330 0.0000
12 Pu 0.0000 0.0000 0.0000

The density of states at the Fermi level is 17.4 states/eV/f.u. The final energy is -5.439 eV per atom. The calculated density comes out at 8.0 g/cm3.

# 3
Tm2Pu3ThTe6: relaxed, PBE.

a b c (Å): 4.3500 8.8694 9.8399
angles (deg): 103.50 102.77 90.00
Atoms (fractional coordinates):
1 Pu 0.5000 0.5000 0.0000
2 Pu 0.1626 0.8331 0.3253
3 Pu 0.8374 0.1669 0.6747
4 Te 0.9961 0.7417 0.9922
5 Te 0.3307 0.4225 0.6614
6 Te 0.6693 0.5775 0.3386
7 Te 0.6705 0.0917 0.3409
8 Te 0.0039 0.2583 0.0078
9 Te 0.3295 0.9083 0.6591
10 Tm 0.8339 0.6693 0.6678
11 Tm 0.1661 0.3307 0.3322
12 Th 0.5000 0.0000 0.0000

The density of states at the Fermi level is 29.6 states/eV/f.u. The final energy is -7.643 eV per atom. The calculated density comes out at 9.6 g/cm3.